1.
Computed, not measured: an optimized crystal structure of LiTaN at the PBE level of DFT. Values from VASP.

Structure (Quantum ESPRESSO input):
```
&SYSTEM
  ibrav = 0, nat = 6, ntyp = 3
/
ATOMIC_SPECIES
Ta 180.95 Ta.upf
N 14.01 N.upf
Li 6.94 Li.upf
ATOMIC_POSITIONS crystal
Ta 0.8385 0.5000 0.9942
Ta 0.2030 0.0000 0.7155
N 0.3427 0.0000 0.0024
N 0.6179 0.0000 0.5443
Li 0.0524 0.5000 0.4402
Li 0.4660 0.0000 0.2552
CELL_PARAMETERS angstrom
-2.7426 -0.6571 -1.0111
-0.9872 -0.3107 2.8796
-0.5862 8.1103 0.6740
```

Results
Crystal system: monoclinic
Excess energy over the best structure of this formula in the dataset: 21 kJ/mol of formula units
SG: No. 6
Formation energy (no corrections): -0.6148 eV per atom



2.
Computed, not measured: an optimized crystal structure of H2RhO at the PBE level of DFT. Values from VASP.

Structure (Quantum ESPRESSO input):
```
&SYSTEM
  ibrav = 0, nat = 8, ntyp = 3
/
ATOMIC_SPECIES
Rh 102.91 Rh.upf
O 16.00 O.upf
H 1.01 H.upf
ATOMIC_POSITIONS crystal
Rh 0.7500 0.2500 0.5000
O 0.2500 0.7500 0.5000
H 0.3750 0.6250 0.7500
H 0.3750 0.1250 0.2500
H 0.8750 0.6250 0.7500
O 0.5000 0.5000 0.0000
Rh 0.0000 0.0000 0.0000
H 0.3750 0.6250 0.2500
CELL_PARAMETERS angstrom
-2.3123 -1.3639 -3.4423
2.0999 -3.8257 0.1053
-2.2641 -3.7270 0.2296
```

Results
Crystal system: cubic
Excess energy over the best structure of this formula in the dataset: 0 kJ/mol of formula units
SG: No. 227



3.
Computed, not measured: an optimized crystal structure of Pm8PrCd2 at the PBE level of DFT. Values from VASP.

Structure (Quantum ESPRESSO input):
```
&SYSTEM
  ibrav = 0, nat = 11, ntyp = 3
/
ATOMIC_SPECIES
Pr 140.91 Pr.upf
Pm 145.00 Pm.upf
Cd 112.41 Cd.upf
ATOMIC_POSITIONS crystal
Pr 0.5000 0.0000 0.0000
Pm 0.0540 0.7369 0.1080
Pm 0.3976 0.5306 0.7953
Pm 0.6886 0.9570 0.3772
Cd 0.2221 0.6308 0.4441
Cd 0.7779 0.3692 0.5559
Pm 0.8485 0.7906 0.6971
Pm 0.1515 0.2094 0.3029
Pm 0.9460 0.2631 0.8920
Pm 0.3114 0.0430 0.6228
Pm 0.6024 0.4694 0.2047
CELL_PARAMETERS angstrom
5.1706 0.0000 -1.6696
-1.2083 7.5621 -3.7420
0.0178 0.3999 8.8966
```

Results
Crystal system: monoclinic
Excess energy over the best structure of this formula in the dataset: 0 kJ/mol of formula units
SG: No. 12



Please write out number 1 again, unchanged.
Computed, not measured: an optimized crystal structure of LiTaN at the PBE level of DFT. Values from VASP.

Structure (Quantum ESPRESSO input):
```
&SYSTEM
  ibrav = 0, nat = 6, ntyp = 3
/
ATOMIC_SPECIES
Ta 180.95 Ta.upf
N 14.01 N.upf
Li 6.94 Li.upf
ATOMIC_POSITIONS crystal
Ta 0.8385 0.5000 0.9942
Ta 0.2030 0.0000 0.7155
N 0.3427 0.0000 0.0024
N 0.6179 0.0000 0.5443
Li 0.0524 0.5000 0.4402
Li 0.4660 0.0000 0.2552
CELL_PARAMETERS angstrom
-2.7426 -0.6571 -1.0111
-0.9872 -0.3107 2.8796
-0.5862 8.1103 0.6740
```

Results
Crystal system: monoclinic
Excess energy over the best structure of this formula in the dataset: 21 kJ/mol of formula units
SG: No. 6
Formation energy (no corrections): -0.6148 eV per atom